w | Computed, not measured: a geometry-optimized ScZn2SnIr structure at the PBE-GGA level of DFT.

The space group is P4/mmm (No. 123) and the conventional cell measures 4.870, 4.870 and 4.991 Å, with angles of 90.00, 90.00 and 90.00 degrees. The asymmetric unit holds Sc at (0.000, 0.000, 0.000), Zn at (0.000, 0.500, 0.500), Sn at (0.500, 0.500, 0.500) and Ir at (0.500, 0.500, 0.000).

The value obtained for the calculated volume is 23.673 Å³ per atom. The value obtained for the size of the total moment is 0.00 μB/cell.

---

x | Computed, not measured: a geometry-optimized ScZn2SnIr structure at the PBE-GGA level of DFT.

The space group is P4/mmm (No. 123) and the conventional cell measures 4.857, 4.857 and 5.351 Å, with angles of 90.00, 90.00 and 90.00 degrees. The asymmetric unit holds Sc at (0.000, 0.000, 0.000), Zn at (0.000, 0.500, 0.000), Sn at (0.000, 0.000, 0.500) and Ir at (0.500, 0.500, 0.500).

The value obtained for the calculated volume is 25.253 Å³ per atom. The value obtained for the size of the total moment is 0.00 μB/cell.

---

w wins, 725 meV per atom ahead of the next structure.

---

w | Computed, not measured: a geometry-optimized SrScIr2 structure at the PBE-GGA level of DFT.

The space group is F-43m (No. 216) and the conventional cell measures 6.738, 6.738 and 6.738 Å, with angles of 90.00, 90.00 and 90.00 degrees. The asymmetric unit holds Sr at (0.000, 0.000, 0.000), Sc at (0.250, 0.250, 0.750), Ir at (0.000, 0.000, 0.500) and Ir at (0.250, 0.250, 0.250).

The value obtained for the calculated volume is 19.119 Å³ per atom. The value obtained for the size of the total moment is 0.35 μB/cell.

---

x | Computed, not measured: a geometry-optimized SrScIr2 structure at the PBE-GGA level of DFT.

The space group is Pmmm (No. 47) and the conventional cell measures 3.209, 3.262 and 7.526 Å, with angles of 90.00, 90.00 and 90.00 degrees. The asymmetric unit holds Sr at (0.000, 0.000, 0.000), Sc at (0.000, 0.000, 0.500) and Ir at (0.500, 0.500, 0.293).

The value obtained for the calculated volume is 19.695 Å³ per atom. The value obtained for the size of the total moment is 0.00 μB/cell.

---

y | Computed, not measured: a geometry-optimized SrScIr2 structure at the PBE-GGA level of DFT.

The space group is R3m (No. 160, hexagonal axes) and the conventional cell measures 3.1419, 3.1419 and 29.7888 Å, with angles of 90.00, 90.00 and 120.00 degrees. The asymmetric unit holds Sr at (0.0000, 0.0000, 0.0000), Sc at (0.0000, 0.0000, 0.7828), Ir at (0.0000, 0.0000, 0.2536) and Ir at (0.0000, 0.0000, 0.5131).

The value obtained for the calculated volume is 21.221 Å³ per atom. The value obtained for the size of the total moment is 1.34 μB/cell.

---

x wins, 548 meV per atom ahead of the next structure.

---

w | Computed, not measured: a geometry-optimized SrScIr2 structure at the PBE-GGA level of DFT.

The space group is Fm-3m (No. 225) and the conventional cell measures 6.795, 6.795 and 6.795 Å, with angles of 90.00, 90.00 and 90.00 degrees. The asymmetric unit holds Sr at (0.000, 0.000, 0.000), Sc at (0.000, 0.000, 0.500) and Ir at (0.250, 0.250, 0.250).

The value obtained for the calculated volume is 19.609 Å³ per atom. The value obtained for the size of the total moment is 0.00 μB/cell.

---

x | Computed, not measured: a geometry-optimized SrScIr2 structure at the PBE-GGA level of DFT.

The space group is Cmmm (No. 65) and the conventional cell measures 6.864, 6.894 and 3.331 Å, with angles of 90.00, 90.00 and 90.00 degrees. The asymmetric unit holds Sr at (0.000, 0.000, 0.000), Sc at (0.000, 0.500, 0.000) and Ir at (0.250, 0.250, 0.500).

The value obtained for the calculated volume is 19.704 Å³ per atom. The value obtained for the size of the total moment is 0.00 μB/cell.

---

y | Computed, not measured: a geometry-optimized SrScIr2 structure at the PBE-GGA level of DFT.

The space group is Cm (No. 8) and the conventional cell measures 10.859, 3.028 and 5.249 Å, with angles of 90.00, 103.58 and 90.00 degrees. The asymmetric unit holds Sr at (0.000, 0.000, 0.000), Sc at (0.193, 0.000, 0.600), Ir at (0.271, 0.500, 0.242) and Ir at (0.465, 0.000, 0.489).

The value obtained for the calculated volume is 20.967 Å³ per atom. The value obtained for the size of the total moment is 0.00 μB/cell.

---

z | Computed, not measured: a geometry-optimized SrScIr2 structure at the PBE-GGA level of DFT.

The space group is R-3m (No. 166, hexagonal axes) and the conventional cell measures 3.2524, 3.2524 and 26.2095 Å, with angles of 90.00, 90.00 and 120.00 degrees. The asymmetric unit holds Sr at (0.0000, 0.0000, 0.0000), Sc at (0.0000, 0.0000, 0.5000) and Ir at (0.0000, 0.0000, 0.2410).

The value obtained for the calculated volume is 20.009 Å³ per atom. The value obtained for the size of the total moment is 0.00 μB/cell.

---

w wins, 23 meV per atom ahead of the next structure.

---

w | Computed, not measured: a geometry-optimized SrScIr2 structure at the PBE-GGA level of DFT.

The space group is P4mm (No. 99) and the conventional cell measures 3.490, 3.490 and 7.890 Å, with angles of 90.00, 90.00 and 90.00 degrees. The asymmetric unit holds Sr at (0.000, 0.000, 0.000), Sc at (0.500, 0.500, 0.600), Ir at (0.000, 0.000, 0.406) and Ir at (0.500, 0.500, 0.287).

The value obtained for the calculated volume is 24.027 Å³ per atom. The value obtained for the size of the total moment is 0.17 μB/cell.

---

x | Computed, not measured: a geometry-optimized SrScIr2 structure at the PBE-GGA level of DFT.

The space group is C2/m (No. 12) and the conventional cell measures 8.282, 3.154 and 6.905 Å, with angles of 90.00, 100.14 and 90.00 degrees. The asymmetric unit holds Sr at (0.000, 0.000, 0.000), Sc at (0.000, 0.500, 0.500) and Ir at (0.240, 0.000, 0.670).

The value obtained for the calculated volume is 22.193 Å³ per atom. The value obtained for the size of the total moment is 0.00 μB/cell.

---

x wins, 203 meV per atom ahead of the next structure.